Sr2TlZn | PBE | relaxed

Lattice parameters (Å, degrees): 6.7712 6.7712 6.7712 146.33 131.10 60.68
Element x y z (fractional)
Sr  0.0000  0.0000  0.0000
Sr  0.7007  0.2007  0.5000
Tl  0.4245  0.4245  0.0000
Zn  0.2387  0.7387  0.5000

space group	Imm2 (44)
total magnetization	0.000	μB per formula unit
crystal system	orthorhombic
formation enthalpy at 0 K	-0.2304	eV/atom


LiBi2AsC | PBE | relaxed

Lattice parameters (Å, degrees): 5.0246 5.0246 4.1349 90.00 90.00 90.00
Element x y z (fractional)
Li  0.0000  0.0000  0.0000
Bi  0.0000  0.5000  0.5000
Bi  0.5000  0.0000  0.5000
As  0.5000  0.5000  0.0000
C  0.0000  0.0000  0.5000

space group	P4/mmm (123)
total magnetization	0.000	μB per formula unit
crystal system	tetragonal
formation enthalpy at 0 K	0.6003	eV/atom


LaSm4Ge4 | PBE | relaxed

Lattice parameters (Å, degrees): 9.4893 9.4893 5.9489 90.00 90.00 90.00
Element x y z (fractional)
La  0.2500  0.2500  0.2500
La  0.7500  0.7500  0.7500
Sm  0.0846  0.6512  0.1378
Sm  0.1512  0.9154  0.6378
Sm  0.3488  0.5846  0.6378
Sm  0.4154  0.8488  0.1378
Sm  0.5846  0.1512  0.8622
Sm  0.6512  0.4154  0.3622
Sm  0.8488  0.0846  0.3622
Sm  0.9154  0.3488  0.8622
Ge  0.0348  0.6109  0.6384
Ge  0.1109  0.9652  0.1384
Ge  0.3891  0.5348  0.1384
Ge  0.4652  0.8891  0.6384
Ge  0.5348  0.1109  0.3616
Ge  0.6109  0.4652  0.8616
Ge  0.8891  0.0348  0.8616
Ge  0.9652  0.3891  0.3616

space group	P4_2/n (86)
total magnetization	0.000	μB per formula unit
crystal system	tetragonal
formation enthalpy at 0 K	-0.5718	eV/atom


KAuCl4 | PBE | relaxed

Lattice parameters (Å, degrees): 7.1559 5.7863 10.1085 90.00 119.74 90.00
Element x y z (fractional)
K  0.0000  0.0000  0.0000
K  0.0000  0.5000  0.5000
Au  0.5000  0.0000  0.5000
Au  0.5000  0.5000  0.0000
Cl  0.1266  0.0066  0.3777
Cl  0.1266  0.4934  0.8777
Cl  0.4842  0.6989  0.3427
Cl  0.4842  0.8011  0.8427
Cl  0.5158  0.1989  0.1573
Cl  0.5158  0.3011  0.6573
Cl  0.8734  0.5066  0.1223
Cl  0.8734  0.9934  0.6223

space group	P2_1/c (14)
total magnetization	0.000	μB per formula unit
crystal system	monoclinic
energy relative to the elements, uncorrected	-0.907	eV/atom


Which value of total magnetization does entry 3 give?
0.000 μB per formula unit